{"formula": "Mg4Mo", "functional": "GGA-PBE", "state": "optimized geometry", "polymorph_energy_mev_per_atom": 673, "e_form_kcal_per_mol_atoms": 23.020, "energy_ev_per_cell": -12.2, "lattice_angstrom": [[-3.521, 3.773, 0.545], [-3.605, -3.054, -2.145], [-1.239, -1.835, 4.693]], "species": ["Mg", "Mo", "Mg", "Mg", "Mg"], "fractional_positions": [[0.000, 0.000, 0.000], [0.500, 0.500, 0.500], [0.500, 0.500, 0.000], [0.500, 0.000, 0.500], [0.000, 0.500, 0.500]]}